This record from Alexandria describes Mg2ReSi after structural relaxation. The functional is PBE.

Values from the calculation:
- VASP energy (eV/f.u.) = -20.66
- magnetic moment (μB per cell) = 0.000

Unit cell a=2.791 b=4.455 c=5.499 alpha=90.00 beta=104.56 gamma=90.00
Space group Pm (No. 6)
Asymmetric unit:
1 Mg 0.000 0.000 0.000 x1
2 Mg 0.349 0.500 0.704 x1
3 Re 0.619 0.500 0.239 x1
4 Si 0.726 0.000 0.455 x1


This record from Alexandria describes CaZr3Ag after structural relaxation. The functional is PBE.

Values from the calculation:
- offset from the most stable computed form (kJ/mol of formula units) = 0
- VASP energy (eV/f.u.) = -26.60
- magnetic moment (μB per cell) = 0.001
- DFT formation energy (meV/atom) = 780

Unit cell a=5.269 b=5.269 c=5.269 alpha=90.00 beta=90.00 gamma=90.00
Space group Pm-3m (No. 221)
Asymmetric unit:
1 Ca 0.000 0.000 0.000 x1
2 Zr 0.000 0.500 0.500 x3
3 Ag 0.500 0.500 0.500 x1


This record from Alexandria describes Ho12TlPd5 after structural relaxation. The functional is PBE.

Values from the calculation:
- VASP energy (eV/f.u.) = -93.65
- magnetic moment (μB per cell) = 0.000
- DFT formation energy (meV/atom) = -577

Unit cell a=9.469 b=9.635 c=10.222 alpha=90.00 beta=90.00 gamma=90.00
Space group Immm (No. 71)
Asymmetric unit:
1 Ho 0.000 0.191 0.227 x8
2 Ho 0.201 0.500 0.174 x8
3 Ho 0.215 0.320 0.500 x8
4 Tl 0.000 0.000 0.500 x2
5 Pd 0.000 0.000 0.000 x2
6 Pd 0.000 0.349 0.000 x4
7 Pd 0.000 0.500 0.367 x4


This record from Alexandria describes Ce6BiP2Se3 after structural relaxation. The functional is PBE.

Values from the calculation:
- VASP energy (eV/f.u.) = -79.04
- magnetic moment (μB per cell) = 10.871

Unit cell a=18.435 b=4.223 c=8.527 alpha=90.00 beta=102.82 gamma=90.00
Space group C2/m (No. 12)
Asymmetric unit:
1 Ce 0.007 0.000 0.271 x4
2 Ce 0.170 0.500 0.575 x4
3 Ce 0.174 0.500 0.102 x4
4 Bi 0.000 0.500 0.000 x2
5 P 0.169 0.000 0.336 x4
6 Se 0.000 0.500 0.500 x2
7 Se 0.162 0.000 0.832 x4


This record from Alexandria describes ErGe2Pd4 after structural relaxation. The functional is PBE.

Values from the calculation:
- offset from the most stable computed form (kJ/mol of formula units) = 12
- VASP energy (eV/f.u.) = -39.41
- magnetic moment (μB per cell) = 0.000
- DFT formation energy (meV/atom) = -691

Unit cell a=17.145 b=4.199 c=6.692 alpha=90.00 beta=90.00 gamma=90.00
Space group Pnma (No. 62)
Asymmetric unit:
1 Er 0.140 0.250 0.006 x4
2 Ge 0.043 0.750 0.263 x4
3 Ge 0.222 0.250 0.506 x4
4 Pd 0.026 0.750 0.862 x4
5 Pd 0.074 0.250 0.507 x4
6 Pd 0.187 0.750 0.716 x4
7 Pd 0.190 0.750 0.298 x4


This record from Alexandria describes Li2CdPdPt after structural relaxation. The functional is PBE.

Values from the calculation:
- VASP energy (eV/f.u.) = -15.48
- magnetic moment (μB per cell) = 0.000
- DFT formation energy (meV/atom) = 99

Unit cell a=4.388 b=4.388 c=5.140 alpha=90.00 beta=90.00 gamma=90.00
Space group P4/mmm (No. 123)
Asymmetric unit:
1 Li 0.000 0.500 0.000 x2
2 Cd 0.000 0.000 0.500 x1
3 Pd 0.500 0.500 0.000 x1
4 Pt 0.500 0.500 0.500 x1